The following is a DFT calculation (GGA-PBE) of an optimized crystal structure of Zr2CuPb.

Unit cell a=4.275 b=4.392 c=4.392 alpha=90.00 beta=90.00 gamma=90.00
Positions (direct):
Cu: 0.500 0.500 0.500
Zr: 0.000 0.500 0.000
Pb: 0.500 0.000 0.000
Zr: 0.000 0.000 0.500

Calculated values
- calculated density (g/cm³) = 9.13
- symmetry = P4/mmm, No. 123
- energy of formation from the pure elements (eV/atom) = -0.098

***

The following is a DFT calculation (GGA-PBE) of an optimized crystal structure of KH3Au.

Unit cell a=18.543 b=4.738 c=7.164 alpha=90.00 beta=147.63 gamma=90.00
Positions (direct):
K: 0.179 0.278 0.827
Au: 0.020 0.200 0.895
H: 0.593 0.422 0.770
H: 0.149 0.423 0.139
K: 0.321 0.778 0.673
H: 0.407 0.578 0.230
Au: 0.520 0.300 0.395
H: 0.351 0.923 0.361
H: 0.419 0.266 0.985
H: 0.649 0.077 0.639
H: 0.907 0.922 0.730
H: 0.581 0.734 0.015
H: 0.081 0.766 0.515
K: 0.821 0.722 0.173
Au: 0.480 0.700 0.605
Au: 0.980 0.800 0.105
H: 0.919 0.234 0.485
K: 0.679 0.222 0.327
H: 0.093 0.078 0.270
H: 0.851 0.577 0.861

Calculated values
- calculated density (g/cm³) = 4.71
- ΔE to the lowest computed polymorph (kJ/mol of atoms) = 5.32
- symmetry = P2_1/c, No. 14

***

The following is a DFT calculation (GGA-PBE) of an optimized crystal structure of Tm8Fe2Pb.

Unit cell a=5.605 b=7.768 c=7.768 alpha=63.39 beta=84.54 gamma=84.54
Positions (direct):
Tm: 0.044 0.239 0.239
Fe: 0.482 0.313 0.313
Tm: 0.761 0.467 0.467
Tm: 0.239 0.533 0.533
Tm: 0.573 0.332 0.934
Fe: 0.518 0.687 0.687
Tm: 0.956 0.761 0.761
Tm: 0.427 0.668 0.066
Pb: 0.000 0.000 0.000
Tm: 0.573 0.934 0.332
Tm: 0.427 0.066 0.668

Calculated values
- calculated density (g/cm³) = 9.23
- symmetry = C2/m, No. 12
- energy of formation from the pure elements (eV/atom) = 0.068

***

The following is a DFT calculation (GGA-PBE) of an optimized crystal structure of Sm2PaTe4.

Unit cell a=4.271 b=7.628 c=15.040 alpha=90.00 beta=90.00 gamma=106.26
Last column: magnetic moment on the atom in μB.
Positions (direct):
Pa: 0.377 0.753 0.250  1.40
Te: 0.779 0.558 0.128  -0.02
Te: 0.034 0.068 0.250  -0.02
Te: 0.966 0.932 0.750  -0.02
Sm: 0.136 0.272 0.067  0.02
Sm: 0.864 0.728 0.567  0.02
Te: 0.500 0.000 0.000  -0.01
Te: 0.221 0.442 0.872  -0.02
Te: 0.500 0.000 0.500  -0.01
Te: 0.221 0.442 0.628  -0.02
Pa: 0.623 0.247 0.750  1.40
Sm: 0.136 0.272 0.433  0.02
Sm: 0.864 0.728 0.933  0.02
Te: 0.779 0.558 0.372  -0.02

Calculated values
- calculated density (g/cm³) = 7.36
- symmetry = Cmcm, No. 63
- uncorrected formation energy (eV per formula unit) = -7.7

***

The following is a DFT calculation (GGA-PBE) of an optimized crystal structure of LiSe2Cl.

Unit cell a=7.373 b=7.373 c=7.373 alpha=32.43 beta=32.43 gamma=32.43
Positions (direct):
Li: 0.500 0.500 0.500
Cl: 0.000 0.000 0.000
Se: 0.116 0.116 0.116
Se: 0.884 0.884 0.884

Calculated values
- calculated density (g/cm³) = 3.25
- ΔE to the lowest computed polymorph (kJ/mol of atoms) = 54.83
- symmetry = R-3m, No. 166
- uncorrected formation energy (eV per formula unit) = -0.8

***

The following is a DFT calculation (GGA-PBE) of an optimized crystal structure of Ca2TcSe.

Unit cell a=6.159 b=6.159 c=6.159 alpha=139.90 beta=139.90 gamma=58.01
Last column: magnetic moment on the atom in μB.
Positions (direct):
Ca: 0.000 0.000 0.000  0.00
Se: 0.500 0.500 0.000  0.05
Tc: 0.750 0.250 0.500  2.25
Ca: 0.250 0.750 0.500  -0.03

Calculated values
- calculated density (g/cm³) = 4.45
- symmetry = I-4m2, No. 119
- uncorrected formation energy (eV per formula unit) = -0.1

***

The following is a DFT calculation (GGA-PBE) of an optimized crystal structure of MgTi3Ge.

Unit cell a=4.703 b=4.703 c=4.703 alpha=90.00 beta=90.00 gamma=90.00
Last column: magnetic moment on the atom in μB.
Positions (direct):
Ge: 0.500 0.500 0.500  -0.03
Mg: 0.000 0.000 0.000  0.01
Ti: 0.000 0.500 0.000  0.21
Ti: 0.500 0.000 0.000  0.36
Ti: 0.000 0.000 0.500  0.29

Calculated values
- calculated density (g/cm³) = 3.84
- ΔE to the lowest computed polymorph (kJ/mol of atoms) = 78.93
- symmetry = Pm-3m, No. 221
- energy of formation from the pure elements (eV/atom) = 1.158

***

The following is a DFT calculation (GGA-PBE) of an optimized crystal structure of ZrAl3Ru.

Unit cell a=5.024 b=5.024 c=5.024 alpha=90.00 beta=90.00 gamma=90.00
Last column: magnetic moment on the atom in μB.
Positions (direct):
Ru: 0.500 0.500 0.500  2.17
Al: 0.000 0.500 0.000  -0.02
Zr: 0.000 0.000 0.000  -0.15
Al: 0.000 0.000 0.500  -0.02
Al: 0.500 0.000 0.000  0.00

Calculated values
- calculated density (g/cm³) = 3.58
- ΔE to the lowest computed polymorph (kJ/mol of atoms) = 208.20
- symmetry = Pm-3m, No. 221
- energy of formation from the pure elements (eV/atom) = 1.572

***

The following is a DFT calculation (GGA-PBE) of an optimized crystal structure of ZrPdPb2.

Unit cell a=3.326 b=3.326 c=10.494 alpha=80.88 beta=80.88 gamma=60.00
Positions (direct):
Pb: 0.097 0.097 0.709
Pd: 0.500 0.500 0.500
Pb: 0.903 0.903 0.291
Zr: 0.000 0.000 0.000

Calculated values
- calculated density (g/cm³) = 10.28
- ΔE to the lowest computed polymorph (kJ/mol of atoms) = 28.35
- symmetry = R-3m, No. 166
- energy of formation from the pure elements (eV/atom) = 0.118

***

The following is a DFT calculation (GGA-PBE) of an optimized crystal structure of Pt2WSe.

Unit cell a=6.273 b=6.273 c=6.360 alpha=60.45 beta=60.45 gamma=90.00
Positions (direct):
W: 0.750 0.250 0.500
W: 0.000 0.000 0.000
Se: 0.500 0.500 0.000
Pt: 0.113 0.625 0.250
Pt: 0.637 0.125 0.250
Pt: 0.375 0.363 0.750
Pt: 0.875 0.887 0.750
Se: 0.250 0.750 0.500

Calculated values
- calculated density (g/cm³) = 12.09
- symmetry = I-42d, No. 122
- uncorrected formation energy (eV per formula unit) = 1.8

***

The following is a DFT calculation (GGA-PBE) of an optimized crystal structure of La2Pr2Nd7.

Unit cell a=6.243 b=8.951 c=8.951 alpha=82.58 beta=63.54 gamma=63.54
Positions (direct):
Nd: 0.361 0.415 0.415
Nd: 0.000 0.000 0.000
Pr: 0.123 0.234 0.234
Nd: 0.816 0.945 0.408
La: 0.500 0.217 0.783
Nd: 0.184 0.055 0.592
Nd: 0.816 0.408 0.945
Nd: 0.184 0.592 0.055
Nd: 0.639 0.585 0.585
La: 0.500 0.783 0.217
Pr: 0.877 0.766 0.766

Calculated values
- calculated density (g/cm³) = 6.53
- symmetry = C2/m, No. 12
- energy of formation from the pure elements (eV/atom) = 0.131

***

The following is a DFT calculation (GGA-PBE) of an optimized crystal structure of CaPt2Au2.

Unit cell a=4.043 b=4.043 c=6.954 alpha=73.10 beta=73.10 gamma=90.00
Positions (direct):
Au: 0.750 0.250 0.500
Pt: 0.402 0.402 0.197
Ca: 0.000 0.000 0.000
Pt: 0.598 0.598 0.803
Au: 0.250 0.750 0.500

Calculated values
- calculated density (g/cm³) = 13.21
- ΔE to the lowest computed polymorph (kJ/mol of atoms) = 0.22
- symmetry = I4/mmm, No. 139
- energy of formation from the pure elements (eV/atom) = -0.380

***

no.,volume (Å³ per atom)
1,20.61
2,16.85
3,27.31
4,33.60
5,25.62
6,24.01
7,20.80
8,25.35
9,24.71
10,22.42
11,36.30
12,20.73